Entry 1:
Material: Al3Cr
Method: DFT, meta-GGA SCAN
State: single point on PBEsol structure

a b c (Å): 4.482 4.792 5.205
angles (deg): 90.00 90.00 90.00
Element x y z (fractional)
Al 0.500 0.642 0.000
Al 0.000 0.844 0.249
Al 0.500 0.156 0.251
Al 0.000 0.844 0.751
Al 0.500 0.156 0.749
Al 0.000 0.358 0.500
Cr 0.000 0.352 0.000
Cr 0.500 0.648 0.500

Computed properties:
Formation energy from the elements: -0.16 eV per atom

---

Entry 2:
Material: Sr2CdCuSi
Method: DFT, meta-GGA SCAN
State: single point on PBEsol structure

a b c (Å): 4.791 5.543 5.543
angles (deg): 90.00 90.00 90.00
Element x y z (fractional)
Sr 0.000 0.000 0.500
Sr 0.000 0.500 0.000
Cu 0.000 0.000 0.000
Si 0.500 0.500 0.500
Cd 0.500 0.000 0.000

Computed properties:
ΔE_f (raw): 0.66 eV/f.u.

---

Entry 3:
Material: K2InSb
Method: DFT, meta-GGA SCAN
State: single point on PBEsol structure

a b c (Å): 4.520 5.315 6.993
angles (deg): 112.34 90.00 90.00
Element x y z (fractional)
K 0.000 0.100 0.201
K 0.500 0.395 0.790
Sb 0.000 0.820 0.640
In 0.500 0.684 0.367

Computed properties:
ΔE_f (raw): -1.65 eV/f.u.
Excess energy over the best structure of this formula in the dataset: 0.000 eV per atom